This record from the Alexandria database describes a relaxed Ca2NiAu crystal. The functional is PBE.

Summary:
calculated density: 6.22 g/cm³
formation enthalpy at 0 K: -365 meV/atom

CIF file:
```
data_Ca2NiAu
_chemical_formula_sum 'Ca2 Ni1 Au1'
_cell_length_a 5.0131
_cell_length_b 5.0131
_cell_length_c 3.5684
_cell_angle_alpha 90.00
_cell_angle_beta 90.00
_cell_angle_gamma 90.00
_symmetry_space_group_name_H-M 'P 4/m m m'
_symmetry_Int_Tables_number 123
_symmetry_space_group_name_Hall '-P 4 2'
loop_
_atom_site_label
_atom_site_type_symbol
_atom_site_fract_x
_atom_site_fract_y
_atom_site_fract_z
_atom_site_occupancy
Ca1 Ca 0.0000 0.5000 0.0000 1
Ni1 Ni 0.0000 0.0000 0.5000 1
Au1 Au 0.5000 0.5000 0.5000 1
```